DFT (PBE) results for LaSc2Cd2 after structural relaxation.

Structure (CIF):
```
data_LaSc2Cd2
_space_group_name_H-M_alt 'I 4/m m m'
_space_group_IT_number 139
_space_group_name_Hall '-I 4 2'
_cell_length_a 4.661
_cell_length_b 4.661
_cell_length_c 12.798
_cell_angle_alpha 90.00
_cell_angle_beta 90.00
_cell_angle_gamma 90.00
loop_
_atom_site_label
_atom_site_type_symbol
_atom_site_fract_x
_atom_site_fract_y
_atom_site_fract_z
La1 La 0.000 0.000 0.000
Sc1 Sc 0.000 0.500 0.250
Cd1 Cd 0.000 0.000 0.392
```

Summary:
Polymorph energy (0 for the lowest one): 1.92 kcal/mol of atoms
Calculated formation energy: -98 meV per atom

DFT (PBE) results for BPdS2Cl after structural relaxation.

Structure (CIF):
```
data_BPdS2Cl
_space_group_name_H-M_alt 'P 4/m m m'
_space_group_IT_number 123
_space_group_name_Hall '-P 4 2'
_cell_length_a 4.289
_cell_length_b 4.289
_cell_length_c 4.129
_cell_angle_alpha 90.00
_cell_angle_beta 90.00
_cell_angle_gamma 90.00
loop_
_atom_site_label
_atom_site_type_symbol
_atom_site_fract_x
_atom_site_fract_y
_atom_site_fract_z
B1 B 0.000 0.000 0.000
Pd1 Pd 0.500 0.500 0.500
S1 S 0.000 0.500 0.000
Cl1 Cl 0.000 0.000 0.500
```

Summary:
Polymorph energy (0 for the lowest one): 0.00 kcal/mol of atoms
Formation energy (no corrections): 763 meV/atom

DFT (PBE) results for TbY5Th after structural relaxation.

Structure (CIF):
```
data_TbY5Th
_space_group_name_H-M_alt 'C 1 2/c 1'
_space_group_IT_number 15
_space_group_name_Hall '-C 2yc'
_cell_length_a 6.160
_cell_length_b 17.604
_cell_length_c 8.735
_cell_angle_alpha 90.00
_cell_angle_beta 101.95
_cell_angle_gamma 90.00
loop_
_atom_site_label
_atom_site_type_symbol
_atom_site_fract_x
_atom_site_fract_y
_atom_site_fract_z
Tb1 Tb 0.000 0.013 0.250
Y1 Y 0.000 0.353 0.250
Y2 Y 0.115 0.155 0.962
Y3 Y 0.201 0.314 0.646
Th1 Th 0.000 0.500 0.000
```

Summary:
Calculated formation energy: 204 meV per atom

DFT (PBE) results for InS2O6F2 after structural relaxation.

Structure (CIF):
```
data_InS2O6F2
_space_group_name_H-M_alt 'P -3 m 1'
_space_group_IT_number 164
_space_group_name_Hall '-P 3 2"'
_cell_length_a 5.8785
_cell_length_b 5.8785
_cell_length_c 5.8994
_cell_angle_alpha 90.00
_cell_angle_beta 90.00
_cell_angle_gamma 120.00
loop_
_atom_site_label
_atom_site_type_symbol
_atom_site_fract_x
_atom_site_fract_y
_atom_site_fract_z
In1 In 0.0000 0.0000 0.0000
S1 S 0.3333 0.6667 0.7243
O1 O 0.1939 0.3877 0.7805
F1 F 0.3333 0.6667 0.4516
```

Summary:
Formation energy (no corrections): -1380 meV/atom

DFT (PBE) results for Pm4Nd2Cd after structural relaxation.

Structure (CIF):
```
data_Pm4Nd2Cd
_space_group_name_H-M_alt 'C m m m'
_space_group_IT_number 65
_space_group_name_Hall '-C 2 2'
_cell_length_a 3.621
_cell_length_b 35.503
_cell_length_c 3.613
_cell_angle_alpha 90.00
_cell_angle_beta 90.00
_cell_angle_gamma 90.00
loop_
_atom_site_label
_atom_site_type_symbol
_atom_site_fract_x
_atom_site_fract_y
_atom_site_fract_z
Pm1 Pm 0.000 0.060 0.000
Pm2 Pm 0.000 0.366 0.500
Nd1 Nd 0.000 0.206 0.000
Cd1 Cd 0.000 0.500 0.500
```

Summary:
Polymorph energy (0 for the lowest one): 0.00 kcal/mol of atoms
Calculated formation energy: -27 meV per atom

DFT (PBE) results for IrS2N2 after structural relaxation.

Structure (CIF):
```
data_IrS2N2
_space_group_name_H-M_alt 'P 4/m m m'
_space_group_IT_number 123
_space_group_name_Hall '-P 4 2'
_cell_length_a 3.716
_cell_length_b 3.716
_cell_length_c 5.484
_cell_angle_alpha 90.00
_cell_angle_beta 90.00
_cell_angle_gamma 90.00
loop_
_atom_site_label
_atom_site_type_symbol
_atom_site_fract_x
_atom_site_fract_y
_atom_site_fract_z
Ir1 Ir 0.000 0.000 0.000
S1 S 0.000 0.000 0.500
S2 S 0.500 0.500 0.500
N1 N 0.000 0.500 0.000
```

Summary:
Polymorph energy (0 for the lowest one): 0.00 kcal/mol of atoms
Formation energy (no corrections): 1052 meV/atom

Which formula does entry 5 have?
Pm4Nd2Cd